No. 1
# NiP2Rh

A geometry-optimized NiP2Rh structure (PBE, Alexandria via LeMat-Bulk).

a = 2.9098 Å, b = 2.9098 Å, c = 21.0349 Å
α = 90.00°, β = 90.00°, γ = 120.00°
Space group R-3m (No. 166, hexagonal axes)
One atom of each set of equivalent atoms:
Ni: 0.0000 0.0000 0.0000
P: 0.0000 0.0000 0.2544
Rh: 0.0000 0.0000 0.5000

M_tot in μB/f.u.: 0.000
DFT formation energy in eV/atom: -0.245

No. 2
# Ni2PRh

A geometry-optimized Ni2PRh structure (PBE, Alexandria via LeMat-Bulk).

a = 3.568 Å, b = 3.568 Å, c = 3.699 Å
α = 90.00°, β = 90.00°, γ = 90.00°
Space group P4/mmm (No. 123)
One atom of each set of equivalent atoms:
Ni: 0.000 0.500 0.000
P: 0.000 0.000 0.500
Rh: 0.500 0.500 0.500

M_tot in μB/f.u.: 0.292
DFT formation energy in eV/atom: -0.210

No. 3
# Ni2PRh

A geometry-optimized Ni2PRh structure (PBE, Alexandria via LeMat-Bulk).

a = 3.471 Å, b = 3.471 Å, c = 17.053 Å
α = 90.00°, β = 90.00°, γ = 90.00°
Space group I-42d (No. 122)
One atom of each set of equivalent atoms:
Ni: 0.232 0.250 0.125
P: 0.000 0.000 0.000
Rh: 0.000 0.000 0.500

M_tot in μB/f.u.: 0.000
DFT formation energy in eV/atom: 0.026

No. 4
# Ni2PRh

A geometry-optimized Ni2PRh structure (PBE, Alexandria via LeMat-Bulk).

a = 4.072 Å, b = 4.667 Å, c = 5.876 Å
α = 87.69°, β = 77.66°, γ = 64.24°
Space group P1 (No. 1)
One atom of each set of equivalent atoms:
Ni: 0.000 0.000 0.000
Ni: 0.009 0.205 0.598
Ni: 0.293 0.314 0.162
Ni: 0.309 0.575 0.646
P: 0.505 0.106 0.797
P: 0.714 0.372 0.308
Rh: 0.701 0.620 0.956
Rh: 0.742 0.844 0.424

M_tot in μB/f.u.: 0.000
DFT formation energy in eV/atom: -0.359

No. 5
# NiPRh

A geometry-optimized NiPRh structure (PBE, Alexandria via LeMat-Bulk).

a = 3.572 Å, b = 3.572 Å, c = 6.553 Å
α = 90.00°, β = 90.00°, γ = 90.00°
Space group P4/nmm (No. 129, origin choice 2)
One atom of each set of equivalent atoms:
Ni: 0.250 0.250 0.103
P: 0.250 0.750 0.500
Rh: 0.250 0.250 0.729

M_tot in μB/f.u.: 0.000
DFT formation energy in eV/atom: 0.056

No. 6
# NiP2Rh

A geometry-optimized NiP2Rh structure (PBE, Alexandria via LeMat-Bulk).

a = 3.952 Å, b = 2.886 Å, c = 4.893 Å
α = 90.00°, β = 112.16°, γ = 90.00°
Space group P2/m (No. 10)
One atom of each set of equivalent atoms:
Ni: 0.000 0.000 0.000
P: 0.000 0.000 0.500
P: 0.500 0.500 0.000
Rh: 0.500 0.500 0.500

M_tot in μB/f.u.: 0.000
DFT formation energy in eV/atom: -0.201